Record 1
CoReSn3, optimized geometry, DFT PBE; energy of formation = 450 kJ/mol of formula units; energy = -5.379 eV/atom; space group = Pm-3m (221); volume = 138.5 Å³ per cell; N(E_F) = 30.53 states/eV per cell
1.0
5.1736 0.0000 0.0000
0.0000 5.1736 0.0000
0.0000 0.0000 5.1736
Re Co Sn
1 1 3
Cartesian
0.0000 0.0000 0.0000
2.5868 2.5868 2.5868
0.0000 2.5868 0.0000
0.0000 0.0000 2.5868
2.5868 0.0000 0.0000

=====

Record 2
AcPmLu2, optimized geometry, DFT PBE; energy of formation = 31 kJ/mol of formula units; energy = -4.396 eV/atom; space group = P4/mmm (123); volume = 137.4 Å³ per cell; N(E_F) = 5.69 states/eV per cell
1.0
4.1467 0.0000 0.0000
0.0000 4.1467 0.0000
0.0000 0.0000 7.9911
Ac Lu Pm
1 2 1
Cartesian
2.0734 2.0734 3.9956
0.0000 0.0000 6.1312
0.0000 0.0000 1.8599
2.0734 2.0734 0.0000

=====

Record 3
Nb2HgI6, optimized geometry, DFT PBE; formation energy from raw total energies = -0.332 eV/atom; energy = -3.636 eV/atom; space group = C2/m (12); volume = 377.4 Å³ per cell; N(E_F) = 0.00 states/eV per cell
1.0
4.6592 0.0000 0.0000
-2.3296 7.5805 -1.5755
0.0000 -0.6467 10.8203
Nb Hg I
2 1 6
Cartesian
2.3296 3.0298 9.0731
0.0000 3.9041 0.1717
0.0000 -0.3233 5.4101
0.0000 1.1926 8.9558
2.3296 2.1465 0.6971
0.0000 4.7873 8.5477
2.3296 2.7245 6.2981
0.0000 4.2094 2.9467
2.3296 5.7413 0.2890

=====

Record 4
K3Y, optimized geometry, DFT PBE; energy of formation = 169 kJ/mol of formula units; energy = -2.001 eV/atom; space group = Imm2 (44); volume = 213.6 Å³ per cell; N(E_F) = 4.06 states/eV per cell
1.0
-3.2798 2.6488 7.2192
3.2873 -3.1783 6.9988
0.2055 4.6479 -6.9459
K Y
3 1
Cartesian
0.2896 4.0669 3.6429
0.2859 4.3266 -3.3306
1.1615 2.1230 0.0785
-2.1342 5.0653 0.1898

=====

Record 5
Cu2OsAu, optimized geometry, DFT PBE; energy of formation = 197 kJ/mol of formula units; energy = -5.164 eV/atom; space group = I4/mmm (139); volume = 56.8 Å³ per cell; N(E_F) = 4.51 states/eV per cell
1.0
-3.1101 -3.1653 -0.8408
1.6122 -1.9169 -3.7583
2.2148 0.6819 3.8766
Au Cu Os
1 2 1
Cartesian
-0.8221 -2.5122 0.3682
0.0000 0.0000 0.0000
-0.7489 -2.5411 -2.2995
1.5390 -1.8881 -1.0906

=====

Record 6
AgPPdCl2, optimized geometry, DFT PBE; formation energy from raw total energies = 0.245 eV/atom; energy = -3.184 eV/atom; space group = P4/mmm (123); volume = 116.0 Å³ per cell; N(E_F) = 2.03 states/eV per cell
1.0
-3.3306 2.5734 -2.7637
-1.5120 -4.2855 -2.1682
-3.1451 -0.5492 3.2789
P Pd Ag Cl
1 1 1 2
Cartesian
-1.5725 -0.2746 1.6394
0.0000 0.0000 0.0000
-3.9939 -1.1307 -0.8265
-0.7560 -2.1428 -1.0841
-1.6653 1.2867 -1.3818

=====

Record 7
CsMnCl4, optimized geometry, DFT PBE; formation energy from raw total energies = -1.304 eV/atom; energy = -4.206 eV/atom; space group = P4_2/nmc (137); volume = 433.6 Å³ per cell; N(E_F) = 7.28 states/eV per cell
1.0
6.8361 0.0000 0.0000
0.0000 6.8361 0.0000
0.0000 0.0000 9.2794
Cs Mn Cl
2 2 8
Cartesian
0.0000 0.0000 4.6397
3.4180 3.4180 0.0000
0.0000 0.0000 0.0000
3.4180 3.4180 4.6397
1.7379 0.0000 1.3835
5.0982 0.0000 1.3835
0.0000 5.0982 7.8959
0.0000 1.7379 7.8959
3.4180 1.6801 6.0232
5.1559 3.4180 3.2562
1.6801 3.4180 3.2562
3.4180 5.1559 6.0232

=====

Record 8
TbCe3Ir3, optimized geometry, DFT PBE; energy of formation = -417 kJ/mol of formula units; energy = -7.619 eV/atom; space group = C2/m (12); volume = 333.4 Å³ per cell; N(E_F) = 21.02 states/eV per cell
1.0
6.8172 1.0820 0.3909
-2.0684 6.5853 0.3909
-0.2669 -0.4309 7.0302
Tb Ce Ir
2 6 6
Cartesian
3.3284 5.3739 6.7929
1.1535 1.8624 1.0190
2.9655 4.7881 3.2463
-0.5603 5.3532 3.9060
5.0422 1.8832 3.9060
0.1357 5.2202 0.3909
4.6131 2.4471 0.3909
1.5163 2.4483 4.5657
4.3956 7.0970 2.2164
-1.0109 2.8835 5.5912
3.0319 0.3795 5.5912
5.4928 4.3529 2.2207
1.4500 6.8569 2.2207
0.0863 0.1394 5.5955

=====

Record 9
MnFe2Co, optimized geometry, DFT PBE; energy of formation = 0 kJ/mol of formula units; energy = -8.300 eV/atom; space group = I4/mmm (139); volume = 45.0 Å³ per cell; N(E_F) = 2.81 states/eV per cell
1.0
4.3673 -0.0105 0.0000
1.4913 4.1048 0.0000
-2.9293 -2.0472 2.5103
Mn Co Fe
1 1 2
Cartesian
0.7456 2.0524 1.2552
2.1836 -0.0052 1.2552
0.0000 0.0000 0.0000
2.9293 2.0472 0.0000

=====

Record 10
Y2IrBr, optimized geometry, DFT PBE; formation energy from raw total energies = -0.719 eV/atom; energy = -6.585 eV/atom; space group = Amm2 (38); volume = 91.9 Å³ per cell; N(E_F) = 4.79 states/eV per cell
1.0
5.7826 -0.0377 -0.0366
4.7688 3.2710 -0.0366
0.0299 0.0092 4.8141
Y Ir Br
2 1 1
Cartesian
10.5472 3.2320 0.5280
7.9201 2.4270 2.9549
2.7814 0.8523 0.5833
5.1747 1.5857 2.9721

=====

Record 11
VFeSi3, optimized geometry, DFT PBE; formation energy from raw total energies = 0.565 eV/atom; energy = -6.205 eV/atom; space group = Pm-3m (221); volume = 80.3 Å³ per cell; N(E_F) = 6.97 states/eV per cell
1.0
4.3140 0.0000 0.0000
0.0000 4.3140 0.0000
0.0000 0.0000 4.3140
Si Fe V
3 1 1
Cartesian
0.0000 2.1570 0.0000
0.0000 0.0000 2.1570
2.1570 0.0000 0.0000
0.0000 0.0000 0.0000
2.1570 2.1570 2.1570

=====

Record 12
Tm6CoPb2, optimized geometry, DFT PBE; energy of formation = -263 kJ/mol of formula units; energy = -4.897 eV/atom; space group = P4/mnc (128); volume = 491.3 Å³ per cell; N(E_F) = 14.69 states/eV per cell
1.0
7.0044 0.0000 0.3012
0.0000 7.0105 0.0000
-0.4313 0.0000 9.9860
Tm Co Pb
12 2 4
Cartesian
-0.1023 0.0006 2.4848
5.0346 5.2436 5.2150
5.2672 5.2609 0.2299
5.0238 1.7556 5.2149
5.2564 1.7383 0.2297
3.3889 3.5059 2.6587
6.6755 7.0099 7.8023
1.5386 1.7669 5.0721
1.3059 1.7496 10.0573
1.5494 5.2548 5.0723
1.3167 5.2722 10.0574
3.1842 3.5046 7.6285
3.5022 3.5052 0.1506
-0.2156 0.0000 4.9930
6.6806 3.5049 7.7908
3.1790 7.0101 7.6401
3.3941 0.0004 2.6471
-0.1075 3.5056 2.4963

=====

Record 13
BaZn2Si, optimized geometry, DFT PBE; formation energy from raw total energies = -0.130 eV/atom; energy = -2.603 eV/atom; space group = Pmmm (47); volume = 109.0 Å³ per cell; N(E_F) = 1.97 states/eV per cell
1.0
-3.4009 2.5678 -0.2725
-0.8113 -0.5473 4.9690
2.9396 3.9908 0.9189
Ba Si Zn
1 1 2
Cartesian
-1.1684 2.1448 1.3357
-0.1042 3.8666 4.2797
2.2051 2.9951 0.7035
1.7987 2.7175 3.1593

=====

Record 14
Na3Pt8Pb, optimized geometry, DFT PBE; energy of formation = -389 kJ/mol of formula units; energy = -5.002 eV/atom; space group = R3m (160); volume = 222.3 Å³ per cell; N(E_F) = 7.02 states/eV per cell
1.0
5.1724 0.0000 1.5614
2.3505 4.6074 1.5614
0.0052 0.0032 9.3305
Na Pt Pb
3 8 1
Cartesian
2.8227 1.7288 9.3451
0.0230 0.0141 9.2714
3.7441 2.2931 6.2928
5.8794 2.0177 3.8910
4.4692 4.3197 8.5687
3.2944 2.0177 3.1107
7.0531 4.3197 9.3487
1.4102 0.8637 4.6763
5.1775 3.1710 10.8920
4.4691 4.3203 3.8910
5.8789 2.0181 8.5687
6.5929 4.0379 6.2034

=====

Record 15
SrMg2Mo, optimized geometry, DFT PBE; energy of formation = 209 kJ/mol of formula units; energy = -3.384 eV/atom; space group = P4mm (99); volume = 93.2 Å³ per cell; N(E_F) = 2.64 states/eV per cell
1.0
-1.4984 -2.6107 0.4228
1.0758 -1.0412 -2.6455
8.0177 -3.8295 4.7675
Mg Mo Sr
2 1 1
Cartesian
0.2099 -0.1002 0.1248
1.9698 -2.8677 0.1855
3.7912 -1.8108 2.2543
5.6332 -4.6174 2.3639

=====

Record 16
NdTm8Tl2, optimized geometry, DFT PBE; energy of formation = 13 kJ/mol of formula units; energy = -4.103 eV/atom; space group = C2/m (12); volume = 335.6 Å³ per cell; N(E_F) = 13.62 states/eV per cell
1.0
5.5341 -0.2893 -0.4342
-1.3558 8.5557 -0.6911
-1.3558 -3.9329 7.6295
Nd Tm Tl
1 8 2
Cartesian
2.7671 -0.1447 -0.2171
2.7170 4.8215 4.1594
2.7170 1.9816 6.0515
0.0306 2.6588 3.9907
1.4112 5.6721 0.9166
1.4112 -1.3387 5.5876
2.7919 1.6747 2.5135
0.1055 2.3518 0.4527
0.1055 -0.4880 2.3447
-1.3558 -0.1086 5.0815
-1.3558 4.7314 1.8569

=====

Record 17
AgHgPt2, optimized geometry, DFT PBE; energy of formation = 125 kJ/mol of formula units; energy = -3.485 eV/atom; space group = I-42d (122); volume = 153.3 Å³ per cell; N(E_F) = 4.56 states/eV per cell
1.0
7.4688 0.0000 0.0000
0.0000 7.4688 0.0000
3.7344 3.7344 2.7477
Ag Hg Pt
2 2 4
Cartesian
3.7344 3.7344 0.0000
3.7344 7.4688 1.3739
0.0000 0.0000 0.0000
7.4688 3.7344 1.3739
5.5983 1.8672 0.6869
1.8705 5.6016 0.6869
5.6016 5.6049 2.0608
9.3360 9.3327 2.0608

=====

Record 18
NaHfTeO6, optimized geometry, DFT PBE; formation energy from raw total energies = -1.783 eV/atom; energy = -6.690 eV/atom; space group = P-31c (163); volume = 259.7 Å³ per cell; N(E_F) = 9.31 states/eV per cell
1.0
5.4618 0.0000 0.0000
-2.7309 4.7301 0.0000
0.0000 0.0000 10.0512
Na Hf Te O
2 2 2 12
Cartesian
0.0000 0.0000 0.0000
0.0000 0.0000 5.0256
2.7309 1.5767 2.5128
0.0000 3.1534 7.5384
0.0000 3.1534 2.5128
2.7309 1.5767 7.5384
1.6205 2.9988 1.4369
-0.9441 1.8273 1.4369
2.0545 0.0960 6.4625
3.6750 2.9028 8.6143
0.9441 1.8273 3.5887
-1.6205 2.9988 3.5887
3.4073 0.0960 8.6143
0.6764 4.6341 3.5887
4.3514 1.7313 6.4625
-0.6764 4.6341 1.4369
1.7868 2.9028 6.4625
1.1104 1.7313 8.6143

=====

Record 19
KTa2SbCl, optimized geometry, DFT PBE; formation energy from raw total energies = 1.192 eV/atom; energy = -4.963 eV/atom; space group = P4/mmm (123); volume = 200.1 Å³ per cell; N(E_F) = 3.88 states/eV per cell
1.0
-2.8460 -3.2336 -2.9247
-2.8647 -2.9993 6.1038
-3.8633 3.4893 -0.0986
Sb K Cl Ta
1 1 1 2
Cartesian
0.0000 0.0000 0.0000
-1.4324 -1.4996 3.0519
-4.7870 -1.3718 1.5403
-1.9316 1.7447 -0.0493
-1.4230 -1.6168 -1.4623

=====

Record 20
DyGe2Bi2Pt7, optimized geometry, DFT PBE; energy of formation = -670 kJ/mol of formula units; energy = -5.902 eV/atom; space group = C2/m (12); volume = 250.9 Å³ per cell; N(E_F) = 5.20 states/eV per cell
1.0
4.0241 -0.0014 0.0045
0.0035 4.0241 0.0045
1.9849 1.9825 15.4998
Dy Ge Bi Pt
1 2 2 7
Cartesian
0.0000 0.0000 0.0000
3.9984 3.9935 11.8371
2.0141 2.0116 3.6717
4.0163 4.0114 6.5409
1.9962 1.9937 8.9679
2.0138 2.0113 0.0045
2.0014 1.9990 6.1241
4.0111 4.0062 9.3846
4.0260 2.0099 2.1804
2.0148 4.0236 2.1804
3.9977 1.9816 13.3284
1.9864 3.9952 13.3284